Arrangement i

{"formula": "CsNbWO6", "functional": "GGA+U", "state": "relaxed", "crystal_system": "orthorhombic", "sg": "Imma, No. 74", "lattice": [[-4.027, 5.194, 3.565], [-6.307, -3.230, -2.382], [5.096, -3.975, 3.758]], "species": ["Nb", "Nb", "O", "O", "O", "O", "O", "O", "O", "O", "O", "O", "O", "O", "Cs", "Cs", "W", "W"], "frac_coords": [[0.000, 0.500, 0.500], [0.500, 0.500, 0.000], [0.688, 0.438, 0.250], [0.059, 0.817, 0.621], [0.941, 0.562, 0.758], [0.696, 0.817, 0.258], [0.312, 0.562, 0.750], [0.304, 0.183, 0.742], [0.942, 0.192, 0.750], [0.941, 0.183, 0.379], [0.304, 0.562, 0.121], [0.059, 0.438, 0.242], [0.058, 0.808, 0.250], [0.696, 0.438, 0.879], [0.378, 0.128, 0.250], [0.622, 0.872, 0.750], [0.000, 0.000, 0.500], [0.000, 0.500, 0.000]]}

---

Arrangement ii

{"formula": "CsNbWO6", "functional": "GGA+U", "state": "relaxed", "crystal_system": "trigonal", "sg": "P3, No. 143", "lattice": [[-3.522, 4.034, 0.673], [-4.034, -0.504, 3.549], [3.896, 2.601, 4.799]], "species": ["Cs", "O", "O", "O", "O", "O", "O", "W", "Nb"], "frac_coords": [[0.000, 0.000, 0.999], [0.403, 0.004, 0.670], [0.589, 0.013, 0.332], [0.397, 0.590, 0.332], [0.593, 0.403, 0.670], [0.013, 0.397, 0.332], [0.004, 0.593, 0.670], [0.333, 0.333, 0.527], [0.667, 0.667, 0.468]]}

---

Which structure is the least stable? The one labeled arrangement ii.